RbBe3Os4 | PBE | relaxed

a b c (Å): 6.5163 6.5163 6.5163
angles (deg): 129.58 129.58 74.07
Closest atoms and distances in Å follow each position.
Atoms (fractional coordinates):
Rb  0.0000  0.0000  0.0000  8 Os 3.28-3.49
Be  0.2500  0.7500  0.5000  4 Os 2.17
Be  0.5000  0.5000  0.0000  4 Os 2.43
Be  0.7500  0.2500  0.5000  4 Os 2.17
Os  0.1461  0.1461  0.7031  2 Be 2.17, 1 Os 2.33
Os  0.4430  0.4430  0.2969  2 Be 2.17, 1 Os 2.33
Os  0.5570  0.8539  0.0000  2 Be 2.17, 1 Os 2.33
Os  0.8539  0.5570  0.0000  2 Be 2.17, 1 Os 2.33



RbBeOs | PBE | relaxed

Computed properties:
offset from the most stable computed form = 939 meV per atom

a b c (Å): 5.0856 5.0856 5.0856
angles (deg): 60.00 60.00 60.00
Closest atoms and distances in Å follow each position.
Atoms (fractional coordinates):
Rb  0.0000  0.0000  0.0000  4 Be 3.11, 4 Os 3.11
Be  0.7500  0.7500  0.7500  4 Rb 3.11
Os  0.2500  0.2500  0.2500  4 Rb 3.11



| no. | E (eV/f.u.) | total moment (μB/f.u.) |
| --- | --- | --- |
| 1 | -47.944 | 2.22 |
| 2 | -6.858 | 2.95 |